VASP calculation (PBE with a Hubbard U) on Li3Ni5OF11 after structural relaxation.

As for the raw total energy: -4.438 eV per atom.

Structure (POSCAR):
```
Li3Ni5OF11
1.0
5.304 0.000 0.000
2.386 4.849 0.000
0.132 0.146 8.951
Li Ni O F
3 5 1 11
direct
0.000 0.000 0.000
0.034 0.453 0.477
0.727 0.148 0.485
0.372 0.818 0.312
0.375 0.313 0.148
0.387 0.784 0.646
0.393 0.282 0.817
0.677 0.726 0.954
0.618 0.088 0.990
0.104 0.565 0.973
0.127 0.049 0.489
0.135 0.104 0.166
0.160 0.586 0.310
0.182 0.544 0.648
0.209 0.012 0.829
0.576 0.575 0.136
0.583 0.049 0.320
0.611 0.005 0.654
0.631 0.551 0.473
0.639 0.493 0.795
```